# AcSnF | Alexandria | PBE-GGA | optimized geometry
# Magnetization (μB per cell): 0.00
# Formation energy without anion corrections (eV/f.u.): -5.8
# Crystal system: hexagonal
# E above lowest polymorph (eV/atom): 0.219
data_AcSnF
_chemical_formula_sum 'Ac1 Sn1 F1'
_cell_length_a 4.2637
_cell_length_b 4.2637
_cell_length_c 5.4584
_cell_angle_alpha 90.00
_cell_angle_beta 90.00
_cell_angle_gamma 120.00
_symmetry_space_group_name_H-M 'P -6 m 2'
_symmetry_Int_Tables_number 187
_symmetry_space_group_name_Hall 'P -6 2'
loop_
_atom_site_label
_atom_site_type_symbol
_atom_site_fract_x
_atom_site_fract_y
_atom_site_fract_z
_atom_site_occupancy
Ac1 Ac 0.0000 0.0000 0.0000 1
Sn1 Sn 0.6667 0.3333 0.5000 1
F1 F 0.3333 0.6667 0.0000 1